# SmSb3

A relaxed SmSb3 crystal (PBE-GGA, the Alexandria database).

abc: 4.3984 6.2361 4.5915
angles: 90.00 90.00 90.00
Last column: nearest neighbours and their distance in Å.
Space group Pmm2 (No. 25)
Symmetry-distinct sites (fractional):
Sm (0.0000, 0.0000, 0.0000) [1 per cell]  6 Sb 3.13-3.23
Sb (0.0000, 0.5000, 0.8668) [1 per cell]  2 Sb 2.95, 2 Sm 3.18
Sb (0.5000, 0.0000, 0.4861) [1 per cell]  4 Sm 3.13-3.23, 2 Sb 3.24
Sb (0.5000, 0.5000, 0.2958) [1 per cell]  4 Sb 2.95-3.24

Values from the calculation:
As for the energy relative to the lowest polymorph listed for this composition: 0.000 eV per atom. Its uncorrected formation energy is -0.502 eV/atom. Its total energy is -4.773 eV per atom. As for the total magnetization: 0.0 μB/cell.